1.
A crystal of Zn2ReRu relaxed with PBEsol. Source: Alexandria via LeMat-Bulk, functional SCAN.

Structure (extended XYZ):
```
4
Lattice="2.8178 0.0000 0.0000 0.0000 4.4766 0.0000 -1.4089 -2.2383 4.3827" Properties=species:S:1:pos:R:3 pbc="T T T"
Ru 0.0000 2.2383 0.0000
Zn 0.0000 0.0000 2.2325
Zn 1.4089 2.2383 2.1502
Re 1.4089 0.0000 0.0000
```

Results
E	-33.037	eV/atom
formation energy	0.20	eV/atom
polymorph energy (0 for the lowest one)	251.6	meV/atom

=====

2.
A crystal of Sr3TlZn relaxed with PBEsol. Source: Alexandria via LeMat-Bulk, functional SCAN.

Structure (extended XYZ):
```
5
Lattice="5.9417 0.0000 0.0000 0.0000 5.9417 0.0000 0.0000 0.0000 5.9417" Properties=species:S:1:pos:R:3 pbc="T T T"
Sr 0.0000 0.0000 2.9709
Sr 0.0000 2.9709 0.0000
Sr 2.9709 0.0000 0.0000
Zn 0.0000 0.0000 0.0000
Tl 2.9709 2.9709 2.9709
```

Results
E	-30.552	eV/atom
formation energy	-0.01	eV/atom
polymorph energy (0 for the lowest one)	0.0	meV/atom

=====

3.
A crystal of InNiMo2 relaxed with PBEsol. Source: Alexandria via LeMat-Bulk, functional SCAN.

Structure (extended XYZ):
```
4
Lattice="3.2873 0.0000 0.0000 0.0000 4.4942 0.0000 -1.6437 -2.2471 4.1331" Properties=species:S:1:pos:R:3 pbc="T T T"
Ni 0.0000 0.0000 4.0827
In 0.0000 2.2471 1.9647
Mo 0.0000 0.0000 0.1410
Mo 1.6437 0.0000 2.0778
```

Results
E	-29.589	eV/atom
formation energy	0.24	eV/atom

=====

4.
A crystal of Zr5Ga4 relaxed with PBEsol. Source: Alexandria via LeMat-Bulk, functional SCAN.

Structure (extended XYZ):
```
18
Lattice="5.6511 0.0000 0.0000 0.0000 8.3062 0.0000 0.0000 -4.1531 7.1934" Properties=species:S:1:pos:R:3 pbc="T T T"
Ga 4.2383 3.1353 0.0000
Ga 2.8256 0.0000 0.0000
Ga 1.4128 1.5676 2.7152
Ga 4.2383 2.5855 4.4782
Ga 4.2383 -1.5676 2.7152
Ga 1.4128 -2.5855 4.4782
Ga 0.0000 0.0000 0.0000
Ga 1.4128 5.1710 0.0000
Zr 1.4128 2.3137 0.0000
Zr 1.4128 -1.1569 2.0037
Zr 0.0000 4.1531 2.3978
Zr 0.0000 0.0000 4.7956
Zr 4.2383 1.1569 2.0037
Zr 4.2383 -2.9963 5.1897
Zr 4.2383 5.9925 0.0000
Zr 1.4128 2.9963 5.1897
Zr 2.8256 4.1531 2.3978
Zr 2.8256 0.0000 4.7956
```

Results
E	-24.984	eV/atom
formation energy	-0.66	eV/atom

=====

5.
A crystal of Ga2BiS relaxed with PBEsol. Source: Alexandria via LeMat-Bulk, functional SCAN.

Structure (extended XYZ):
```
4
Lattice="-1.6842 -3.3555 -3.1818 1.3925 -4.7019 0.4156 -3.2304 -3.4005 1.4902" Properties=species:S:1:pos:R:3 pbc="T T T"
Ga -0.8805 -2.8645 -0.3190
Ga -2.6416 -8.5935 -0.9570
S 0.0000 0.0000 0.0000
Bi -1.7610 -5.7290 -0.6380
```

Results
E	-29.973	eV/atom
energy relative to the elements, uncorrected	0.252	eV/atom

=====

6.
A crystal of KLaRuF2 relaxed with PBEsol. Source: Alexandria via LeMat-Bulk, functional SCAN.

Structure (extended XYZ):
```
5
Lattice="-1.7586 -4.0732 1.8077 3.3758 -2.4863 -2.3181 3.0650 0.4455 3.9856" Properties=species:S:1:pos:R:3 pbc="T T T"
Ru 1.5325 0.2228 1.9928
F -0.8793 -2.0366 0.9039
F 1.6879 -1.2432 -1.1590
K 2.3411 -3.0570 1.7376
La 0.0000 0.0000 0.0000
```

Results
E	-20.349	eV/atom
energy relative to the elements, uncorrected	-1.681	eV/atom